# ScGaNiO4 (PBE with a Hubbard U, relaxed)
# V in A^3/atom: 11.14
# Total energy in eV/atom: -6.78
data_ScGaNiO4
_chemical_formula_sum 'Sc4 Ga4 Ni4 O16'
_space_group_name_H-M_alt 'I m m a'
_space_group_IT_number 74
_space_group_name_Hall '-I 2b 2'
_cell_length_a 5.989
_cell_length_b 6.137
_cell_length_c 8.486
_cell_angle_alpha 90.00
_cell_angle_beta 90.00
_cell_angle_gamma 90.00
loop_
_atom_site_label
_atom_site_type_symbol
_atom_site_fract_x
_atom_site_fract_y
_atom_site_fract_z
_atom_site_occupancy
Sc1 Sc 0.000 0.000 0.000 1
Ga1 Ga 0.000 0.250 0.373 1
Ni1 Ni 0.250 0.250 0.750 1
O1 O 0.000 0.007 0.752 1
O2 O 0.242 0.250 0.998 1